Entry from Alexandria via LeMat-Bulk: a geometry-optimized Nd5Zn2O2 structure (PBE).

Values from the calculation:
Its symmetry is Imma. The formation energy (no corrections) is -1.305 eV per atom.

```
Nd5Zn2O2
1.0
-5.0915 4.6676 0.2231
-2.7311 -2.6959 -5.9272
-1.1920 -6.7913 7.8440
Nd Zn O
10 4 4
direct
0.7743 0.7838 0.0488
0.2257 0.7350 0.9512
0.7745 0.2838 0.0488
0.2255 0.2350 0.9512
0.7578 0.8725 0.7266
0.2422 0.1460 0.2734
0.4688 0.3725 0.7266
0.5312 0.6460 0.2734
0.9997 0.0099 0.5000
0.0003 0.5099 0.5000
0.9024 0.3799 0.7402
0.0976 0.6397 0.2598
0.3378 0.8799 0.7402
0.6622 0.1397 0.2598
0.0000 0.0093 0.0000
0.5000 0.5093 0.0000
0.7689 0.7597 0.5000
0.2311 0.2597 0.5000
```